Entry 1:
Material: NdDy6Se8
Method: DFT, PBE
State: relaxed

a = 8.1408 Å, b = 8.1408 Å, c = 8.1408 Å
α = 60.00°, β = 60.00°, γ = 60.00°
Closest atoms and distances in Å follow each position.
Fractional coordinates of all 15 atoms:
Nd1 0.0000 0.0000 0.0000  6 Se 2.99
Dy1 0.0000 0.0000 0.5000  6 Se 2.88
Dy2 0.0000 0.5000 0.0000  6 Se 2.88
Dy3 0.0000 0.5000 0.5000  6 Se 2.88
Dy4 0.5000 0.0000 0.0000  6 Se 2.88
Dy5 0.5000 0.0000 0.5000  6 Se 2.88
Dy6 0.5000 0.5000 0.0000  6 Se 2.88
Se1 0.2500 0.2500 0.2500  6 Dy 2.88
Se2 0.2599 0.2599 0.7401  4 Dy 2.88, 1 Nd 2.99
Se3 0.2599 0.7401 0.2599  4 Dy 2.88, 1 Nd 2.99
Se4 0.2599 0.7401 0.7401  4 Dy 2.88, 1 Nd 2.99
Se5 0.7401 0.2599 0.2599  4 Dy 2.88, 1 Nd 2.99
Se6 0.7401 0.2599 0.7401  4 Dy 2.88, 1 Nd 2.99
Se7 0.7401 0.7401 0.2599  4 Dy 2.88, 1 Nd 2.99
Se8 0.7500 0.7500 0.7500  6 Dy 2.88

Calculated values
VASP energy in eV per cell: -87.68
ΔE_f (raw) in meV per atom: -1828
Calculated density in g/cm³: 7.62
Fermi-level density of states in states/eV/cell: 5.9

***

Entry 2:
Material: Pm2PuMg
Method: DFT, PBE
State: relaxed

a = 3.5565 Å, b = 3.5565 Å, c = 9.4504 Å
α = 90.00°, β = 90.00°, γ = 90.00°
Closest atoms and distances in Å follow each position.
Fractional coordinates of all 4 atoms:
Pm1 0.0000 0.0000 0.2433  4 Mg 3.41, 4 Pu 3.49, 4 Pm 3.56
Pm2 0.0000 0.0000 0.7567  4 Mg 3.41, 4 Pu 3.49, 4 Pm 3.56
Pu1 0.5000 0.5000 0.5000  8 Pm 3.49, 4 Pu 3.56
Mg1 0.5000 0.5000 0.0000  8 Pm 3.41, 4 Mg 3.56

Calculated values
VASP energy in eV per cell: -25.17
Energy relative to the lowest polymorph listed for this composition in meV per atom: 0
Calculated density in g/cm³: 7.76
Energy of formation in kJ per mole of atoms: 6.1
Fermi-level density of states in states/eV/cell: 9.8

***

Entry 3:
Material: Ca2ZnPb
Method: DFT, PBE
State: relaxed

a = 6.0934 Å, b = 6.0934 Å, c = 6.0934 Å
α = 134.69°, β = 134.69°, γ = 66.02°
Closest atoms and distances in Å follow each position.
Fractional coordinates of all 4 atoms:
Ca1 0.0000 0.0000 0.0000  4 Zn 3.32, 4 Pb 3.47, 4 Ca 3.47
Ca2 0.7500 0.2500 0.5000  4 Pb 3.32, 4 Ca 3.47, 4 Zn 3.47
Zn1 0.5000 0.5000 0.0000  8 Ca 3.32-3.47, 4 Pb 3.47
Pb1 0.2500 0.7500 0.5000  8 Ca 3.32-3.47, 4 Zn 3.47

Calculated values
VASP energy in eV per cell: -10.00
Calculated density in g/cm³: 5.20
Energy of formation in kJ per mole of atoms: -24.5
Fermi-level density of states in states/eV/cell: 2.3

***

Entry 4:
Material: Al2ReMo
Method: DFT, PBE
State: relaxed

a = 5.5890 Å, b = 5.5890 Å, c = 5.5890 Å
α = 103.52°, β = 103.52°, γ = 122.18°
Closest atoms and distances in Å follow each position.
Fractional coordinates of all 8 atoms:
Al1 0.1174 0.6250 0.9924  2 Re 2.50, 2 Mo 2.57, 2 Al 2.70
Al2 0.3750 0.3674 0.4924  2 Re 2.50, 2 Mo 2.57, 2 Al 2.70
Al3 0.6326 0.1250 0.0076  2 Re 2.50, 2 Mo 2.57, 2 Al 2.70
Al4 0.8750 0.8826 0.5076  2 Re 2.50, 2 Mo 2.57, 2 Al 2.70
Re1 0.0000 0.0000 0.0000  4 Al 2.50, 2 Mo 2.70
Re2 0.7500 0.2500 0.5000  4 Al 2.50, 2 Mo 2.70
Mo1 0.2500 0.7500 0.5000  4 Al 2.57, 2 Re 2.70
Mo2 0.5000 0.5000 0.0000  4 Al 2.57, 2 Re 2.70

Calculated values
VASP energy in eV per cell: -57.38
Energy relative to the lowest polymorph listed for this composition in meV per atom: 828
Calculated density in g/cm³: 8.63
Energy of formation in kJ per mole of atoms: 50.1
Fermi-level density of states in states/eV/cell: 6.1

***

Entry 5:
Material: La2PuAg
Method: DFT, PBE
State: relaxed

a = 3.6755 Å, b = 3.6755 Å, c = 8.7962 Å
α = 90.00°, β = 90.00°, γ = 90.00°
Closest atoms and distances in Å follow each position.
Fractional coordinates of all 4 atoms:
La1 0.0000 0.0000 0.2288  4 Ag 3.29, 4 Pu 3.53, 4 La 3.68
La2 0.0000 0.0000 0.7712  4 Ag 3.29, 4 Pu 3.53, 4 La 3.68
Pu1 0.5000 0.5000 0.5000  8 La 3.53, 4 Pu 3.68
Ag1 0.5000 0.5000 0.0000  8 La 3.29, 4 Ag 3.68

Calculated values
VASP energy in eV per cell: -27.11
Energy relative to the lowest polymorph listed for this composition in meV per atom: 0
Calculated density in g/cm³: 8.80
Energy of formation in kJ per mole of atoms: -1.6
Fermi-level density of states in states/eV/cell: 9.4

***

Entry 6:
Material: NaAcAgSb
Method: DFT, PBE
State: relaxed

a = 5.5165 Å, b = 5.5165 Å, c = 5.5165 Å
α = 60.00°, β = 60.00°, γ = 60.00°
Closest atoms and distances in Å follow each position.
Fractional coordinates of all 4 atoms:
Na1 0.0000 0.0000 0.0000  4 Sb 3.38, 4 Ag 3.38
Ac1 0.5000 0.5000 0.5000  4 Sb 3.38, 4 Ag 3.38
Ag1 0.7500 0.7500 0.7500  4 Ac 3.38, 4 Na 3.38
Sb1 0.2500 0.2500 0.2500  4 Ac 3.38, 4 Na 3.38

Calculated values
VASP energy in eV per cell: -14.44
ΔE_f (raw) in meV per atom: -509
Calculated density in g/cm³: 6.71
Fermi-level density of states in states/eV/cell: 0.3

***

Entry 7:
Material: LiP2Cl2
Method: DFT, PBE
State: relaxed

a = 5.3944 Å, b = 5.3944 Å, c = 5.3944 Å
α = 116.74°, β = 116.74°, γ = 95.74°
Closest atoms and distances in Å follow each position.
Fractional coordinates of all 5 atoms:
Li1 0.0000 0.0000 0.0000  2 P 2.63
P1 0.3640 0.3640 0.0000  1 P 1.97
P2 0.6360 0.6360 0.0000  1 P 1.97
Cl1 0.2500 0.7500 0.5000  4 P 2.95
Cl2 0.7500 0.2500 0.5000  4 P 2.95

Calculated values
VASP energy in eV per cell: -17.01
ΔE_f (raw) in meV per atom: -116
Calculated density in g/cm³: 2.00
Fermi-level density of states in states/eV/cell: 3.8

***

Entry 8:
Material: Rb2NaCrH6
Method: DFT, PBE
State: relaxed

a = 5.9104 Å, b = 5.9104 Å, c = 5.9104 Å
α = 60.00°, β = 60.00°, γ = 60.00°
Closest atoms and distances in Å follow each position.
Fractional coordinates of all 10 atoms:
Rb1 0.2500 0.2500 0.2500  12 H 2.97
Rb2 0.7500 0.7500 0.7500  12 H 2.97
Na1 0.0000 0.0000 0.0000  6 H 2.41
Cr1 0.5000 0.5000 0.5000  6 H 1.77
H1 0.2885 0.2885 0.7115  1 Cr 1.77
H2 0.2885 0.7115 0.2885  1 Cr 1.77
H3 0.2885 0.7115 0.7115  1 Cr 1.77
H4 0.7115 0.2885 0.2885  1 Cr 1.77
H5 0.7115 0.2885 0.7115  1 Cr 1.77
H6 0.7115 0.7115 0.2885  1 Cr 1.77

Calculated values
VASP energy in eV per cell: -34.67
Calculated density in g/cm³: 2.87
Fermi-level density of states in states/eV/cell: 0.0

***

Entry 9:
Material: Zr3CdH
Method: DFT, PBE
State: relaxed

a = 5.6998 Å, b = 5.7038 Å, c = 5.7038 Å
α = 90.00°, β = 90.03°, γ = 90.00°
Closest atoms and distances in Å follow each position.
Fractional coordinates of all 10 atoms:
Zr1 0.0002 0.0000 0.2463  2 H 2.03
Zr2 0.9998 0.0000 0.7537  2 H 2.03
Zr3 0.2500 0.5000 0.0002  2 Zr 2.85, 4 Cd 3.19
Zr4 0.5000 0.2537 0.5000  2 H 2.03
Zr5 0.5000 0.7463 0.5000  2 H 2.03
Zr6 0.7500 0.5000 0.9998  2 Zr 2.85, 4 Cd 3.19
Cd1 0.0000 0.5000 0.5000  12 Zr 3.18-3.20, 4 H 3.19
Cd2 0.5000 0.0000 0.0000  12 Zr 3.18-3.20, 4 H 3.18-3.19
H1 0.2500 0.0000 0.5005  4 Zr 2.03
H2 0.7500 0.0000 0.4995  4 Zr 2.03

Calculated values
VASP energy in eV per cell: -61.72
Energy relative to the lowest polymorph listed for this composition in meV per atom: 52
Calculated density in g/cm³: 6.93
Fermi-level density of states in states/eV/cell: 5.8

***

Entry 10:
Material: TmAgSn2S4
Method: DFT, PBE
State: relaxed

a = 6.8750 Å, b = 4.0078 Å, c = 7.0960 Å
α = 90.00°, β = 109.19°, γ = 90.00°
Closest atoms and distances in Å follow each position.
Fractional coordinates of all 8 atoms:
Tm1 0.0000 0.0000 0.0000  6 S 2.73-2.75
Ag1 0.5000 0.5000 0.0000  6 S 2.81-2.84
Sn1 0.0000 0.5000 0.5000  6 S 2.86-2.89
Sn2 0.5000 0.0000 0.5000  6 S 2.95-2.96
S1 0.2330 0.5000 0.2314  2 Tm 2.75, 1 Ag 2.84, 3 Sn 2.86-2.95
S2 0.2471 0.0000 0.7669  1 Tm 2.73, 2 Ag 2.81, 3 Sn 2.89-2.96
S3 0.7529 0.0000 0.2331  1 Tm 2.73, 2 Ag 2.81, 3 Sn 2.89-2.96
S4 0.7670 0.5000 0.7686  2 Tm 2.75, 1 Ag 2.84, 3 Sn 2.86-2.95

Calculated values
VASP energy in eV per cell: -38.15
ΔE_f (raw) in meV per atom: -789
Calculated density in g/cm³: 5.78

***

Entry 11:
Material: Hf5Pb3N
Method: DFT, PBE
State: relaxed

a = 8.5379 Å, b = 8.5379 Å, c = 5.7838 Å
α = 90.00°, β = 90.00°, γ = 120.00°
Closest atoms and distances in Å follow each position.
Fractional coordinates of all 18 atoms:
Hf1 0.0000 0.2154 0.2500  2 N 2.34
Hf2 0.0000 0.7846 0.7500  2 N 2.34
Hf3 0.2154 0.0000 0.2500  2 N 2.34
Hf4 0.2154 0.2154 0.7500  2 N 2.34
Hf5 0.3333 0.6667 0.0000  2 Hf 2.89, 6 Pb 2.97
Hf6 0.3333 0.6667 0.5000  2 Hf 2.89, 6 Pb 2.97
Hf7 0.6667 0.3333 0.0000  2 Hf 2.89, 6 Pb 2.97
Hf8 0.6667 0.3333 0.5000  2 Hf 2.89, 6 Pb 2.97
Hf9 0.7846 0.0000 0.7500  2 N 2.34
Hf10 0.7846 0.7846 0.2500  2 N 2.34
Pb1 0.0000 0.4032 0.7500  9 Hf 2.97-3.31, 2 Pb 3.33
Pb2 0.0000 0.5968 0.2500  9 Hf 2.97-3.31, 2 Pb 3.33
Pb3 0.4032 0.0000 0.7500  9 Hf 2.97-3.31, 2 Pb 3.33
Pb4 0.4032 0.4032 0.2500  9 Hf 2.97-3.31, 2 Pb 3.33
Pb5 0.5968 0.0000 0.2500  9 Hf 2.97-3.31, 2 Pb 3.33
Pb6 0.5968 0.5968 0.7500  9 Hf 2.97-3.31, 2 Pb 3.33
N1 0.0000 0.0000 0.0000  6 Hf 2.34
N2 0.0000 0.0000 0.5000  6 Hf 2.34

Calculated values
VASP energy in eV per cell: -145.56
ΔE_f (raw) in meV per atom: -396
Calculated density in g/cm³: 13.90
Fermi-level density of states in states/eV/cell: 11.4

***

Entry 12:
Material: PuThTe2
Method: DFT, PBE
State: relaxed

a = 4.1802 Å, b = 8.0539 Å, c = 7.3752 Å
α = 90.00°, β = 90.00°, γ = 90.00°
Closest atoms and distances in Å follow each position.
Fractional coordinates of all 8 atoms:
Pu1 0.2500 0.2500 0.0902  6 Te 3.14-3.15
Pu2 0.7500 0.7500 0.9098  6 Te 3.14-3.15
Th1 0.2500 0.7500 0.4287  6 Te 3.18-3.19
Th2 0.7500 0.2500 0.5713  6 Te 3.18-3.19
Te1 0.2500 0.0047 0.7577  3 Pu 3.14-3.15, 3 Th 3.18-3.19
Te2 0.2500 0.4953 0.7577  3 Pu 3.14-3.15, 3 Th 3.18-3.19
Te3 0.7500 0.5047 0.2423  3 Pu 3.14-3.15, 3 Th 3.18-3.19
Te4 0.7500 0.9953 0.2423  3 Pu 3.14-3.15, 3 Th 3.18-3.19

Calculated values
VASP energy in eV per cell: -64.01
ΔE_f (raw) in meV per atom: -993
Energy relative to the lowest polymorph listed for this composition in meV per atom: 73
Calculated density in g/cm³: 9.78
Fermi-level density of states in states/eV/cell: 20.7

***

What is the formula in the eighth record?
Rb2NaCrH6